Version P
Compound: CoCuF3
Source: the Alexandria database
Functional: GGA+U
Structure: optimized geometry

Cell: 4.0123 4.0123 4.0123 Å, 90.00 90.00 90.00°
Closest atoms and distances in Å follow each position.
Space group Pm-3m (No. 221)
One atom of each set of equivalent atoms:
Co 0.0000 0.0000 0.0000 [1 per cell]  12 F 2.84
Cu 0.5000 0.5000 0.5000 [1 per cell]  6 F 2.01
F 0.0000 0.5000 0.5000 [3 per cell]  2 Cu 2.01

Results
Volume, Å³ per cell: 65
Theoretical density, kg/m3: 4614
M_tot, μB per formula unit: 3.32

***

Version Q
Compound: CoCuF3
Source: the Alexandria database
Functional: GGA+U
Structure: optimized geometry

Cell: 3.9859 3.9859 3.9859 Å, 90.00 90.00 90.00°
Closest atoms and distances in Å follow each position.
Space group Pm-3m (No. 221)
One atom of each set of equivalent atoms:
Co 0.0000 0.0000 0.0000 [1 per cell]  6 F 1.99
Cu 0.5000 0.5000 0.5000 [1 per cell]  12 F 2.82
F 0.0000 0.0000 0.5000 [3 per cell]  2 Co 1.99

Results
Volume, Å³ per cell: 63
Theoretical density, kg/m3: 4706
M_tot, μB per formula unit: 3.02

***

The relative energies come out as version P 223; version Q 0, with values in meV per atom.